Record 1
The following is a DFT calculation (PBE) of an optimized crystal structure of NbGaGe.

Computed properties:
The total magnetic moment comes out at 0.00 Bohr magnetons per cell. The calculation puts the calculated density at 6.8 g cm⁻³. The space group is P2_13, No. 198. The calculation puts the calculated volume at 19.23 Å³ per atom. The energy above the most stable polymorph in this dataset is 11.08 kcal/mol of atoms. For the energy relative to the elements, the calculation gives 13.7 kJ per mole of atoms.

Lattice parameters (Å, degrees): 6.1334 6.1334 6.1334 90.00 90.00 90.00
Closest atoms and distances in Å follow each position.
Element x y z (fractional)
Ga 0.9537 0.5463 0.4537  3 Ge 2.61, 4 Nb 2.63-2.79
Ga 0.4537 0.9537 0.5463  3 Ge 2.61, 4 Nb 2.63-2.79
Ga 0.5463 0.4537 0.9537  3 Ge 2.61, 4 Nb 2.63-2.79
Ga 0.0463 0.0463 0.0463  3 Ge 2.61, 4 Nb 2.63-2.79
Ge 0.5356 0.5356 0.5356  3 Ga 2.61, 4 Nb 2.71-2.80
Ge 0.0356 0.9644 0.4644  3 Ga 2.61, 4 Nb 2.71-2.80
Ge 0.4644 0.0356 0.9644  3 Ga 2.61, 4 Nb 2.71-2.80
Ge 0.9644 0.4644 0.0356  3 Ga 2.61, 4 Nb 2.71-2.80
Nb 0.7989 0.7989 0.7989  4 Ga 2.63-2.79, 4 Ge 2.71-2.80
Nb 0.2989 0.7011 0.2011  4 Ga 2.63-2.79, 4 Ge 2.71-2.80
Nb 0.7011 0.2011 0.2989  4 Ga 2.63-2.79, 4 Ge 2.71-2.80
Nb 0.2011 0.2989 0.7011  4 Ga 2.63-2.79, 4 Ge 2.71-2.80

Record 2
The following is a DFT calculation (PBE) of an optimized crystal structure of Pu8HgGe3.

Computed properties:
The total magnetic moment comes out at 10.67 Bohr magnetons per cell. The calculation puts the calculated density at 15.1 g cm⁻³. The space group is Cm, No. 8. The calculation puts the calculated volume at 21.78 Å³ per atom. For the energy relative to the elements, the calculation gives -5.6 kJ per mole of atoms.

Lattice parameters (Å, degrees): 8.7854 7.3094 5.8702 66.56 89.64 126.76
Closest atoms and distances in Å follow each position.
Element x y z (fractional)
Pu 0.9898 0.4585 0.9748  2 Pu 2.53-2.64
Pu 0.8036 0.5116 0.4298  1 Pu 2.53
Pu 0.5313 0.5415 0.4334  2 Pu 2.53-2.64
Pu 0.5151 0.0000 0.9173  4 Ge 2.93-3.09, 3 Pu 2.94-2.98, 1 Hg 3.17
Pu 0.2091 0.0000 0.1392  4 Pu 2.76-2.98, 1 Ge 2.96
Pu 0.1622 0.0000 0.6053  3 Pu 2.76-2.94, 1 Hg 3.05, 1 Ge 3.05
Pu 0.8174 0.0000 0.4003  2 Pu 2.64, 1 Ge 2.90
Pu 0.2920 0.4884 0.9415  1 Pu 2.53
Ge 0.1559 0.4959 0.4199  1 Hg 2.88, 7 Pu 3.03-3.17, 1 Ge 3.04
Ge 0.6601 0.5041 0.9158  1 Hg 2.88, 7 Pu 3.03-3.17, 1 Ge 3.04
Ge 0.4876 0.0000 0.4209  7 Pu 2.90-3.07, 2 Ge 3.04
Hg 0.8762 0.0000 0.9019  2 Ge 2.88, 6 Pu 2.97-3.17

Record 3
The following is a DFT calculation (PBE) of an optimized crystal structure of YMg2W3S8.

Computed properties:
The total magnetic moment comes out at 6.39 Bohr magnetons per cell. The calculation puts the calculated density at 5.3 g cm⁻³. The energy relative to the elements, uncorrected comes out at -10.2 eV per formula unit. The space group is R-3m, No. 166. The calculation puts the calculated volume at 20.99 Å³ per atom.

Lattice parameters (Å, degrees): 7.4608 7.4608 7.4608 60.04 60.04 60.04
Closest atoms and distances in Å follow each position.
Element x y z (fractional)
S 0.7250 0.2450 0.2450  1 Mg 2.44, 2 W 2.49, 1 Y 2.70
S 0.7550 0.2750 0.7550  1 Mg 2.44, 2 W 2.49, 1 Y 2.70
S 0.2450 0.2450 0.7250  1 Mg 2.44, 2 W 2.49, 1 Y 2.70
S 0.2450 0.7250 0.2450  1 Mg 2.44, 2 W 2.49, 1 Y 2.70
S 0.2617 0.2617 0.2617  1 Mg 2.50, 3 W 2.52
S 0.7383 0.7383 0.7383  1 Mg 2.50, 3 W 2.52
S 0.2750 0.7550 0.7550  1 Mg 2.44, 2 W 2.49, 1 Y 2.70
S 0.7550 0.7550 0.2750  1 Mg 2.44, 2 W 2.49, 1 Y 2.70
Mg 0.8748 0.8748 0.8748  4 S 2.44-2.50
Mg 0.1252 0.1252 0.1252  4 S 2.44-2.50
W 0.5000 0.5000 0.0000  6 S 2.49-2.52
W 0.5000 0.0000 0.5000  6 S 2.49-2.52
W 0.0000 0.5000 0.5000  6 S 2.49-2.52
Y 0.5000 0.5000 0.5000  6 S 2.70

Record 4
The following is a DFT calculation (PBE) of an optimized crystal structure of CuMoHRh2.

Computed properties:
The total magnetic moment comes out at 1.70 Bohr magnetons per cell. The calculation puts the calculated density at 10.3 g cm⁻³. The space group is P4/mmm, No. 123. The calculation puts the calculated volume at 11.85 Å³ per atom. The energy above the most stable polymorph in this dataset is 0.52 kcal/mol of atoms.

Lattice parameters (Å, degrees): 3.9633 3.9633 3.7716 90.00 90.00 90.00
Closest atoms and distances in Å follow each position.
Element x y z (fractional)
Mo 0.5000 0.5000 0.5000  8 Rh 2.74, 4 Cu 2.80
Rh 0.5000 0.0000 0.0000  2 H 1.98
Rh 0.0000 0.5000 0.0000  2 H 1.98
Cu 0.0000 0.0000 0.5000  2 H 1.89
H 0.0000 0.0000 0.0000  2 Cu 1.89, 4 Rh 1.98

Record 5
The following is a DFT calculation (PBE) of an optimized crystal structure of MnCd.

Computed properties:
The total magnetic moment comes out at 5.78 Bohr magnetons per cell. The calculation puts the calculated density at 8.5 g cm⁻³. The space group is I4/m, No. 87. The calculation puts the calculated volume at 16.35 Å³ per atom. For the energy relative to the elements, the calculation gives 32.4 kJ per mole of atoms.

Lattice parameters (Å, degrees): 9.6509 9.6509 2.8088 90.00 90.00 90.00
Closest atoms and distances in Å follow each position.
Element x y z (fractional)
Cd 0.8356 0.1417 0.0000  6 Cd 2.81-3.01, 5 Mn 2.87-3.01
Cd 0.6417 0.6644 0.5000  6 Cd 2.81-3.01, 5 Mn 2.87-3.01
Cd 0.3583 0.3356 0.5000  6 Cd 2.81-3.01, 5 Mn 2.87-3.01
Cd 0.8583 0.8356 0.0000  6 Cd 2.81-3.01, 5 Mn 2.87-3.01
Cd 0.1417 0.1644 0.0000  6 Cd 2.81-3.01, 5 Mn 2.87-3.01
Cd 0.6644 0.3583 0.5000  6 Cd 2.81-3.01, 5 Mn 2.87-3.01
Cd 0.3356 0.6417 0.5000  6 Cd 2.81-3.01, 5 Mn 2.87-3.01
Cd 0.1644 0.8583 0.0000  6 Cd 2.81-3.01, 5 Mn 2.87-3.01
Mn 0.5236 0.1358 0.0000  4 Mn 2.35
Mn 0.8642 0.5236 0.0000  4 Mn 2.35
Mn 0.0236 0.6358 0.5000  4 Mn 2.35
Mn 0.3642 0.0236 0.5000  4 Mn 2.35
Mn 0.1358 0.4764 0.0000  4 Mn 2.35
Mn 0.4764 0.8642 0.0000  4 Mn 2.35
Mn 0.6358 0.9764 0.5000  4 Mn 2.35
Mn 0.9764 0.3642 0.5000  4 Mn 2.35

Record 6
The following is a DFT calculation (PBE) of an optimized crystal structure of MgBeRh2.

Computed properties:
The total magnetic moment comes out at 0.00 Bohr magnetons per cell. The calculation puts the calculated density at 7.3 g cm⁻³. The space group is P4mm, No. 99. The calculation puts the calculated volume at 13.65 Å³ per atom. The energy above the most stable polymorph in this dataset is 4.74 kcal/mol of atoms. For the energy relative to the elements, the calculation gives -27.3 kJ per mole of atoms.

Lattice parameters (Å, degrees): 2.9450 2.9451 6.2943 90.00 90.00 90.00
Closest atoms and distances in Å follow each position.
Element x y z (fractional)
Rh 0.0000 0.0000 0.0091  4 Mg 2.67, 1 Be 2.75, 8 Rh 2.78-2.95
Rh 0.5000 0.5000 0.3025  4 Be 2.27
Be 0.0000 0.0000 0.4459  4 Rh 2.27
Mg 0.5000 0.5000 0.7426  5 Rh 2.67-2.77, 4 Be 2.80, 4 Mg 2.95

Record 7
The following is a DFT calculation (PBE) of an optimized crystal structure of HfNiP.

Computed properties:
The total magnetic moment comes out at 0.00 Bohr magnetons per cell. The calculation puts the calculated density at 10.6 g cm⁻³. The space group is P2_1/m, No. 11. The calculation puts the calculated volume at 14.01 Å³ per atom. For the energy relative to the elements, the calculation gives -99.4 kJ per mole of atoms.

Lattice parameters (Å, degrees): 3.6951 6.2822 10.8633 89.34 90.00 90.00
Closest atoms and distances in Å follow each position.
Element x y z (fractional)
Ni 0.2500 0.9904 0.0885  4 P 2.36-2.39
Ni 0.7500 0.0096 0.9115  4 P 2.36-2.39
Ni 0.7500 0.6297 0.8040  3 P 2.33-2.36
Ni 0.7500 0.1551 0.5466  4 P 2.32-2.41
Ni 0.2500 0.3703 0.1960  3 P 2.33-2.36
Ni 0.2500 0.8449 0.4534  4 P 2.32-2.41
P 0.7500 0.2702 0.7528  3 Ni 2.33-2.36
P 0.2500 0.7684 0.9116  5 Ni 2.36-2.39, 1 Hf 2.55
P 0.2500 0.2254 0.4242  3 Ni 2.32-2.41
P 0.7500 0.7746 0.5758  3 Ni 2.32-2.41
P 0.2500 0.7298 0.2472  3 Ni 2.33-2.36
P 0.7500 0.2316 0.0884  5 Ni 2.36-2.39, 1 Hf 2.55
Hf 0.7500 0.5214 0.3800  5 P 2.66-2.68, 5 Ni 2.87-2.91
Hf 0.2500 0.4786 0.6200  5 P 2.66-2.68, 5 Ni 2.87-2.91
Hf 0.7500 0.6565 0.0777  5 P 2.65-2.67, 5 Ni 2.80-2.87
Hf 0.7500 0.0296 0.2934  5 P 2.55-2.69, 2 Ni 2.78
Hf 0.2500 0.3435 0.9223  5 P 2.65-2.67, 5 Ni 2.80-2.87
Hf 0.2500 0.9704 0.7066  5 P 2.55-2.69, 2 Ni 2.78

What are the DFT total energy values for these records? In order: -5.762 -10.792 -6.555 -6.477 -4.706 -5.289 -8.079 eV/atom.